1.
Density functional theory data (PBE) for crystalline K2SrCaCl6 at its relaxed geometry.

Results
Uncorrected formation energy ... -22.59 eV per formula unit
SG ... P2_1/c (14)

a b c (Å): 7.4679 7.8204 10.6693
angles (deg): 90.00 90.25 90.00
With the nearest neighbours (Å) after each atom.
Sites, in units of the cell vectors:
K 0.0241 0.9314 0.2499  6 Cl 3.17-3.41
K 0.5241 0.5686 0.7498  6 Cl 3.17-3.41
K 0.9759 0.0686 0.7501  6 Cl 3.17-3.41
K 0.4759 0.4314 0.2502  6 Cl 3.17-3.41
Sr 0.5000 0.0000 0.0000  6 Cl 2.90-2.91
Sr 0.0000 0.5000 0.5000  6 Cl 2.90-2.91
Ca 0.5000 0.0000 0.5000  6 Cl 2.75-2.77
Ca 0.0000 0.5000 0.0000  6 Cl 2.75-2.77
Cl 0.2949 0.6961 0.0594  1 Ca 2.76, 1 Sr 2.90
Cl 0.7949 0.8039 0.5594  1 Ca 2.76, 1 Sr 2.90
Cl 0.7051 0.3039 0.9406  1 Ca 2.76, 1 Sr 2.90
Cl 0.2051 0.1961 0.4406  1 Ca 2.76, 1 Sr 2.90
Cl 0.3090 0.7085 0.4376  1 Ca 2.77, 1 Sr 2.91
Cl 0.8090 0.7915 0.9376  1 Ca 2.77, 1 Sr 2.91
Cl 0.6910 0.2915 0.5624  1 Ca 2.77, 1 Sr 2.91
Cl 0.1910 0.2085 0.0624  1 Ca 2.77, 1 Sr 2.91
Cl 0.8835 0.5421 0.2425  1 Ca 2.75, 1 Sr 2.90
Cl 0.3835 0.9579 0.7425  1 Ca 2.75, 1 Sr 2.90
Cl 0.1165 0.4579 0.7575  1 Ca 2.75, 1 Sr 2.90
Cl 0.6165 0.0421 0.2575  1 Ca 2.75, 1 Sr 2.90

---

2.
Density functional theory data (PBE) for crystalline Ca2SiSbOs at its relaxed geometry.

Results
Uncorrected formation energy ... 6.00 eV per formula unit
SG ... P4/mmm (123)

a b c (Å): 5.7698 4.9670 5.7698
angles (deg): 90.00 90.00 90.00
With the nearest neighbours (Å) after each atom.
Sites, in units of the cell vectors:
Sb 0.0000 0.0000 0.0000  2 Si 2.48
Ca 0.0000 0.0000 0.5000  2 Sb 2.88
Ca 0.5000 0.0000 0.0000  2 Sb 2.88
Os 0.5000 0.5000 0.5000  8 Ca 3.81, 4 Si 4.08
Si 0.0000 0.5000 0.0000  2 Sb 2.48

---

3.
Density functional theory data (PBE) for crystalline AlTl4Tc at its relaxed geometry.

Results
DFT formation energy ... 956 meV/atom
SG ... F-43m (216)

a b c (Å): 6.1581 6.1581 6.1581
angles (deg): 60.00 60.00 60.00
With the nearest neighbours (Å) after each atom.
Sites, in units of the cell vectors:
Al 0.7500 0.7500 0.7500  12 Tl 3.61, 4 Tc 3.77
Tl 0.8761 0.3746 0.3746  6 Tl 3.07-3.09
Tl 0.3746 0.3746 0.8761  6 Tl 3.07-3.09
Tl 0.3746 0.8761 0.3746  6 Tl 3.07-3.09
Tl 0.3746 0.3746 0.3746  6 Tl 3.07-3.09
Tc 0.0000 0.0000 0.0000  12 Tl 3.61, 4 Al 3.77

---

4.
Density functional theory data (PBE) for crystalline Y4AgAu2 at its relaxed geometry.

Results
DFT formation energy ... -532 meV/atom
SG ... R-3m (166)

a b c (Å): 5.0615 5.0615 8.7625
angles (deg): 73.21 73.21 60.00
With the nearest neighbours (Å) after each atom.
Sites, in units of the cell vectors:
Y 0.8733 0.8733 0.3800  4 Au 3.00-3.09, 1 Ag 3.14
Y 0.1267 0.1267 0.6200  4 Au 3.00-3.09, 1 Ag 3.14
Y 0.6225 0.6225 0.1325  4 Au 3.10-3.22, 3 Ag 3.12
Y 0.3775 0.3775 0.8675  4 Au 3.10-3.22, 3 Ag 3.12
Ag 0.0000 0.0000 0.0000  8 Y 3.12-3.14
Au 0.7525 0.7525 0.7426  8 Y 3.00-3.22
Au 0.2475 0.2475 0.2574  8 Y 3.00-3.22

---

no.,ρ (kg/m3)
1,2231
2,4220
3,9478
4,7768